TaAlAs2 | GGA-PBE | optimized geometry

## Properties
* uncorrected energy: -6.181 eV/atom
* crystal system: monoclinic
* magnetization: 0.0 μB per formula unit
* space group: No. 12
* ρ: 8.74 Mg/m³

Cell lengths 5.851, 6.945, 3.345 Å; angles 90.00, 90.35, 90.00 degrees
Fractional coordinates of all 8 atoms:
Ta  0.000  0.000  0.000
Ta  0.500  0.500  0.000
Al  0.000  0.500  0.000
Al  0.500  0.000  0.000
As  0.250  0.250  0.500
As  0.250  0.750  0.500
As  0.750  0.250  0.500
As  0.750  0.750  0.500